# 1
Here is a relaxed structure of TbAlAgRh from Alexandria. Energies are from PBE-GGA.

## Properties
Its size of the total moment is 0.00 μB per atom. The value obtained for the calculated volume is 297.5 Å³/cell.

Lattice parameters (Å, degrees): 6.675 6.675 6.675 90.00 90.00 90.00
Space group F-43m (No. 216)
Symmetry-distinct sites (fractional):
Tb: 0.000 0.000 0.000 x4
Al: 0.000 0.000 0.500 x4
Ag: 0.250 0.250 0.750 x4
Rh: 0.250 0.250 0.250 x4

# 2
Here is a relaxed structure of LaPm4Er5 from Alexandria. Energies are from PBE-GGA.

## Properties
Its size of the total moment is 0.00 μB per atom. The value obtained for the calculated volume is 653.3 Å³/cell.

Lattice parameters (Å, degrees): 25.667 3.592 7.155 90.00 97.99 90.00
Space group C2/m (No. 12)
Symmetry-distinct sites (fractional):
La: 0.000 0.000 0.000 x2
Pm: 0.102 0.500 0.304 x4
Pm: 0.102 0.500 0.799 x4
Er: 0.000 0.000 0.500 x2
Er: 0.202 0.000 0.101 x4
Er: 0.202 0.000 0.601 x4

# 3
Here is a relaxed structure of Tb2Ho3Al2 from Alexandria. Energies are from PBE-GGA.

## Properties
Its size of the total moment is 0.00 μB per atom. For the energy above the most stable polymorph in this dataset, the calculation gives 0 meV/atom. The value obtained for the calculated volume is 561.2 Å³/cell.

Lattice parameters (Å, degrees): 5.2625 5.2625 23.4086 90.00 90.00 120.00
Space group R-3m (No. 166, hexagonal axes)
Symmetry-distinct sites (fractional):
Tb: 0.0000 0.0000 0.0827 x6
Ho: 0.0000 0.0000 0.3473 x6
Ho: 0.0000 0.0000 0.5000 x3
Al: 0.0000 0.0000 0.2181 x6

N(E_F) (computed, states/eV per cell): 11.89, 26.31, 11.41
E_form (computed, meV/atom): -496.2, 19.5, -207.0